{
  "formula": "SrAg6Sb2",
  "functional": "PBE-GGA",
  "state": "optimized geometry",
  "lattice": [[4.538, 0.000, 0.000], [0.000, 4.538, 0.000], [0.000, 0.000, 10.078]],
  "species": ["Ag", "Ag", "Ag", "Ag", "Ag", "Ag", "Sb", "Sb", "Sr"],
  "fractional_positions": [[0.000, 0.500, 0.679], [0.500, 0.000, 0.679], [0.000, 0.000, 0.500], [0.500, 0.000, 0.321], [0.000, 0.500, 0.321], [0.500, 0.500, 0.500], [0.500, 0.500, 0.154], [0.500, 0.500, 0.846], [0.000, 0.000, 0.000]]
}



{
  "formula": "Sr3Ag7Sb4",
  "functional": "PBE-GGA",
  "state": "optimized geometry",
  "lattice": [[4.644, 0.000, 1.172], [1.731, 8.299, 2.930], [0.182, 0.087, 9.070]],
  "species": ["Ag", "Ag", "Ag", "Ag", "Ag", "Ag", "Ag", "Sb", "Sb", "Sb", "Sb", "Sr", "Sr", "Sr"],
  "fractional_positions": [[0.861, 0.364, 0.915], [0.505, 0.821, 0.168], [0.341, 0.805, 0.513], [0.139, 0.636, 0.085], [0.000, 0.000, 0.000], [0.495, 0.179, 0.832], [0.659, 0.195, 0.487], [0.872, 0.916, 0.339], [0.128, 0.084, 0.661], [0.657, 0.471, 0.215], [0.343, 0.529, 0.785], [0.298, 0.203, 0.202], [0.702, 0.797, 0.798], [0.000, 0.500, 0.500]]
}



{
  "formula": "SrAg2Sb2",
  "functional": "PBE-GGA",
  "state": "optimized geometry",
  "lattice": [[-5.713, 6.246, -1.597], [-5.201, -5.726, -3.789], [-1.550, -0.631, 3.081]],
  "species": ["Ag", "Ag", "Ag", "Ag", "Sr", "Sr", "Sb", "Sb", "Sb", "Sb"],
  "fractional_positions": [[0.360, 0.140, 0.500], [0.140, 0.640, 0.500], [0.860, 0.360, 0.500], [0.640, 0.860, 0.500], [0.500, 0.500, 0.000], [0.000, 0.000, 0.000], [0.655, 0.155, 0.000], [0.345, 0.845, 0.000], [0.845, 0.655, 0.000], [0.155, 0.345, 0.000]]
}



{
  "formula": "SrAg2Sb2",
  "functional": "PBE-GGA",
  "state": "optimized geometry",
  "lattice": [[-4.947, -0.780, -0.236], [0.815, -4.699, -1.548], [-2.045, -4.438, 4.277]],
  "species": ["Ag", "Ag", "Sr", "Sb", "Sb"],
  "fractional_positions": [[0.625, 0.625, 0.749], [0.375, 0.375, 0.251], [0.000, 0.000, 0.000], [0.250, 0.750, 0.500], [0.750, 0.250, 0.500]]
}



{
  "formula": "Sr2AgSb",
  "functional": "PBE-GGA",
  "state": "optimized geometry",
  "lattice": [[-2.708, 2.477, 1.603], [-1.360, -2.994, 2.330], [3.848, -0.961, 7.985]],
  "species": ["Sr", "Sr", "Sb", "Ag"],
  "fractional_positions": [[0.000, 0.495, 0.505], [0.000, 0.005, 0.995], [0.500, 0.750, 0.750], [0.500, 0.250, 0.250]]
}



{
  "formula": "Sr2AgSb",
  "functional": "PBE-GGA",
  "state": "optimized geometry",
  "lattice": [[6.807, 0.000, 0.000], [0.000, 6.807, 0.000], [3.403, 3.403, 8.504]],
  "species": ["Sr", "Sr", "Sr", "Sr", "Ag", "Ag", "Sb", "Sb"],
  "fractional_positions": [[0.636, 0.125, 0.250], [0.114, 0.625, 0.250], [0.875, 0.886, 0.750], [0.375, 0.364, 0.750], [0.250, 0.750, 0.500], [0.500, 0.500, 0.000], [0.750, 0.250, 0.500], [0.000, 0.000, 0.000]]
}



{
  "formula": "Sr3Ag2Sb4",
  "functional": "PBE-GGA",
  "state": "optimized geometry",
  "lattice": [[-3.541, 1.263, -3.097], [-1.910, -5.033, 3.962], [-1.486, 7.791, 4.875]],
  "species": ["Ag", "Ag", "Sb", "Sb", "Sb", "Sb", "Sr", "Sr", "Sr"],
  "fractional_positions": [[0.700, 0.400, 0.369], [0.300, 0.600, 0.631], [0.084, 0.169, 0.386], [0.916, 0.831, 0.614], [0.289, 0.577, 0.932], [0.711, 0.423, 0.068], [0.000, 0.000, 0.000], [0.622, 0.245, 0.688], [0.378, 0.755, 0.312]]
}



{
  "formula": "Sr2AgSb",
  "functional": "PBE-GGA",
  "state": "optimized geometry",
  "lattice": [[4.751, 0.000, 0.000], [0.000, 4.751, 0.000], [0.000, 0.000, 6.609]],
  "species": ["Sb", "Sr", "Sr", "Ag"],
  "fractional_positions": [[0.500, 0.500, 0.875], [0.000, 0.000, 0.875], [0.500, 0.500, 0.375], [0.000, 0.000, 0.375]]
}



{
  "formula": "Sr4AgSb",
  "functional": "PBE-GGA",
  "state": "optimized geometry",
  "lattice": [[1.966, -5.833, -3.409], [0.279, -6.146, 3.415], [-4.728, -5.020, -1.399]],
  "species": ["Sr", "Sr", "Sr", "Sr", "Sb", "Ag"],
  "fractional_positions": [[0.374, 0.878, 0.374], [0.878, 0.374, 0.374], [0.374, 0.374, 0.374], [0.374, 0.374, 0.878], [0.000, 0.000, 0.000], [0.750, 0.750, 0.750]]
}



{
  "formula": "SrAg4Sb2",
  "functional": "PBE-GGA",
  "state": "optimized geometry",
  "lattice": [[-2.201, 0.071, -3.983], [-4.458, -6.907, 2.341], [-6.008, 5.034, 3.409]],
  "species": ["Sb", "Sb", "Sb", "Sb", "Sr", "Sr", "Ag", "Ag", "Ag", "Ag", "Ag", "Ag", "Ag", "Ag"],
  "fractional_positions": [[0.500, 0.717, 0.717], [0.000, 0.783, 0.217], [0.000, 0.217, 0.783], [0.500, 0.283, 0.283], [0.500, 0.000, 0.000], [0.000, 0.500, 0.500], [0.500, 0.151, 0.589], [0.500, 0.589, 0.151], [0.500, 0.411, 0.849], [0.000, 0.349, 0.089], [0.000, 0.911, 0.651], [0.500, 0.849, 0.411], [0.000, 0.089, 0.349], [0.000, 0.651, 0.911]]
}



{
  "formula": "Sr2AgSb",
  "functional": "PBE-GGA",
  "state": "optimized geometry",
  "lattice": [[-2.305, -3.671, -5.264], [3.817, -1.237, -5.513], [0.060, -0.408, 6.806]],
  "species": ["Ag", "Sb", "Sr", "Sr"],
  "fractional_positions": [[0.465, 0.465, 0.000], [0.289, 0.789, 0.500], [0.737, 0.237, 0.500], [0.009, 0.009, 0.000]]
}



{
  "formula": "SrAg2Sb2",
  "functional": "PBE-GGA",
  "state": "optimized geometry",
  "lattice": [[-2.420, 5.576, 5.851], [-6.840, 1.840, -4.583], [-1.819, -2.559, 1.687]],
  "species": ["Ag", "Ag", "Ag", "Ag", "Sb", "Sb", "Sb", "Sb", "Sr", "Sr"],
  "fractional_positions": [[0.882, 0.618, 0.000], [0.618, 0.118, 0.000], [0.118, 0.382, 0.000], [0.382, 0.882, 0.000], [0.318, 0.182, 0.500], [0.818, 0.318, 0.500], [0.182, 0.682, 0.500], [0.682, 0.818, 0.500], [0.000, 0.000, 0.000], [0.500, 0.500, 0.000]]
}



{
  "formula": "SrAg2Sb2",
  "functional": "PBE-GGA",
  "state": "optimized geometry",
  "lattice": [[-1.811, -4.212, 0.747], [2.193, -1.611, -3.765], [5.151, -4.418, 2.025]],
  "species": ["Ag", "Ag", "Sb", "Sb", "Sr"],
  "fractional_positions": [[0.250, 0.750, 0.500], [0.750, 0.250, 0.500], [0.618, 0.618, 0.764], [0.382, 0.382, 0.236], [0.000, 0.000, 0.000]]
}



{
  "formula": "SrAgSb3",
  "functional": "PBE-GGA",
  "state": "optimized geometry",
  "lattice": [[5.997, 0.000, 0.000], [0.000, 5.997, 0.000], [0.000, 0.000, 5.997]],
  "species": ["Sr", "Sb", "Sb", "Sb", "Ag"],
  "fractional_positions": [[0.000, 0.000, 0.000], [0.500, 0.000, 0.000], [0.000, 0.500, 0.000], [0.000, 0.000, 0.500], [0.500, 0.500, 0.500]]
}



{
  "formula": "SrAg3Sb",
  "functional": "PBE-GGA",
  "state": "optimized geometry",
  "lattice": [[5.316, 0.000, 0.000], [0.000, 5.316, 0.000], [0.000, 0.000, 5.316]],
  "species": ["Ag", "Ag", "Ag", "Sb", "Sr"],
  "fractional_positions": [[0.000, 0.500, 0.000], [0.000, 0.000, 0.500], [0.500, 0.000, 0.000], [0.000, 0.000, 0.000], [0.500, 0.500, 0.500]]
}



{
  "formula": "Sr3AgSb",
  "functional": "PBE-GGA",
  "state": "optimized geometry",
  "lattice": [[-4.612, -4.234, 0.267], [0.546, -0.201, 6.240], [-4.207, 4.616, 0.517]],
  "species": ["Sr", "Sr", "Sr", "Ag", "Sb"],
  "fractional_positions": [[0.500, 0.000, 0.000], [0.000, 0.500, 0.000], [0.000, 0.000, 0.500], [0.500, 0.500, 0.500], [0.000, 0.000, 0.000]]
}



{
  "formula": "SrAg12Sb6",
  "functional": "PBE-GGA",
  "state": "optimized geometry",
  "lattice": [[-6.370, 0.746, 4.821], [2.450, -7.575, 0.998], [5.708, 4.470, 3.438]],
  "species": ["Sb", "Sb", "Sb", "Sb", "Sb", "Sb", "Ag", "Ag", "Ag", "Ag", "Ag", "Ag", "Ag", "Ag", "Ag", "Ag", "Ag", "Ag", "Sr"],
  "fractional_positions": [[0.707, 0.284, 0.284], [0.284, 0.707, 0.284], [0.716, 0.293, 0.716], [0.716, 0.716, 0.293], [0.293, 0.716, 0.716], [0.284, 0.284, 0.707], [0.133, 0.368, 0.368], [0.109, 0.500, 0.891], [0.500, 0.109, 0.891], [0.632, 0.632, 0.867], [0.500, 0.891, 0.109], [0.891, 0.109, 0.500], [0.891, 0.500, 0.109], [0.109, 0.891, 0.500], [0.368, 0.133, 0.368], [0.867, 0.632, 0.632], [0.632, 0.867, 0.632], [0.368, 0.368, 0.133], [0.000, 0.000, 0.000]]
}



{
  "formula": "Sr2AgSb",
  "functional": "PBE-GGA",
  "state": "optimized geometry",
  "lattice": [[8.857, -0.015, -0.033], [-3.452, 4.324, 0.005], [1.952, 1.555, 3.307]],
  "species": ["Sb", "Ag", "Sr", "Sr"],
  "fractional_positions": [[0.500, 0.500, 0.000], [0.000, 0.500, 0.500], [0.000, 0.000, 0.000], [0.500, 0.000, 0.500]]
}



{
  "formula": "Sr2AgSb",
  "functional": "PBE-GGA",
  "state": "optimized geometry",
  "lattice": [[-0.839, 1.960, -6.145], [-2.080, -2.416, -5.669], [-4.476, 1.383, 1.054]],
  "species": ["Ag", "Sb", "Sr", "Sr"],
  "fractional_positions": [[0.452, 0.452, 0.626], [0.297, 0.297, 0.125], [0.736, 0.736, 0.624], [0.014, 0.014, 0.125]]
}



{
  "formula": "Sr2AgSb",
  "functional": "PBE-GGA",
  "state": "optimized geometry",
  "lattice": [[-5.757, -0.386, 6.114], [-7.888, -1.932, 2.172], [-5.072, -4.839, 4.640]],
  "species": ["Sr", "Sr", "Sb", "Ag"],
  "fractional_positions": [[0.217, 0.217, 0.217], [0.034, 0.034, 0.034], [0.798, 0.798, 0.798], [0.451, 0.451, 0.451]]
}



{
  "formula": "SrAgSb2Te",
  "functional": "PBE-GGA",
  "state": "optimized geometry",
  "lattice": [[5.380, 0.000, 0.000], [0.000, 5.380, 0.000], [0.000, 0.000, 5.708]],
  "species": ["Ag", "Sb", "Sb", "Sr", "Te"],
  "fractional_positions": [[0.000, 0.000, 0.000], [0.500, 0.000, 0.000], [0.000, 0.500, 0.000], [0.500, 0.500, 0.500], [0.000, 0.000, 0.500]]
}



{
  "formula": "SrAgSb2Te",
  "functional": "PBE-GGA",
  "state": "optimized geometry",
  "lattice": [[-2.938, 2.092, 4.878], [-5.050, -2.818, -1.834], [1.621, -4.914, 3.084]],
  "species": ["Te", "Sb", "Sb", "Sr", "Ag"],
  "fractional_positions": [[0.000, 0.000, 0.500], [0.500, 0.000, 0.000], [0.000, 0.500, 0.000], [0.000, 0.000, 0.000], [0.500, 0.500, 0.500]]
}



{
  "formula": "TaAgSb2",
  "functional": "PBE-GGA",
  "state": "optimized geometry",
  "lattice": [[-5.633, 1.099, 9.638], [-2.771, 0.550, 10.856], [-3.601, 3.485, 10.036]],
  "species": ["Ta", "Ag", "Sb", "Sb"],
  "fractional_positions": [[0.494, 0.494, 0.494], [0.758, 0.758, 0.758], [0.017, 0.017, 0.017], [0.231, 0.231, 0.231]]
}



{
  "formula": "TaAgSb2",
  "functional": "PBE-GGA",
  "state": "optimized geometry",
  "lattice": [[4.982, 0.000, 0.000], [2.491, 4.315, 0.000], [2.491, 1.438, 4.068]],
  "species": ["Ag", "Ta", "Sb", "Sb"],
  "fractional_positions": [[0.500, 0.500, 0.500], [0.750, 0.750, 0.750], [0.250, 0.250, 0.250], [0.000, 0.000, 0.000]]
}



{
  "formula": "TaAg3Sb",
  "functional": "PBE-GGA",
  "state": "optimized geometry",
  "lattice": [[5.143, 0.000, 0.000], [0.000, 5.143, 0.000], [0.000, 0.000, 5.143]],
  "species": ["Ag", "Ag", "Ag", "Sb", "Ta"],
  "fractional_positions": [[0.500, 0.000, 0.000], [0.000, 0.000, 0.500], [0.000, 0.500, 0.000], [0.500, 0.500, 0.500], [0.000, 0.000, 0.000]]
}



{
  "formula": "TaAg3Sb",
  "functional": "PBE-GGA",
  "state": "optimized geometry",
  "lattice": [[5.032, 0.000, 0.000], [0.000, 5.032, 0.000], [0.000, 0.000, 5.032]],
  "species": ["Ag", "Ag", "Ag", "Sb", "Ta"],
  "fractional_positions": [[0.000, 0.500, 0.000], [0.500, 0.000, 0.000], [0.000, 0.000, 0.500], [0.000, 0.000, 0.000], [0.500, 0.500, 0.500]]
}



| no. | E_form (uncorrected) (eV/atom) | raw total energy (eV for the cell shown) | N(E_F) (states/eV per cell) |
| --- | --- | --- | --- |
| 1 | -0.195 | -28.79 | 2.71 |
| 2 | -0.443 | -47.69 | 2.28 |
| 3 | -0.151 | -32.77 | 6.17 |
| 4 | -0.299 | -17.12 | 2.10 |
| 5 | -0.602 | -12.75 | 1.37 |
| 6 | -0.251 | -22.68 | 0.00 |
| 7 | -0.643 | -33.03 | 2.15 |
| 8 | -0.568 | -12.61 | 1.05 |
| 9 | 0.284 | -12.00 | 7.19 |
| 10 | -0.307 | -46.96 | 3.46 |
| 11 | -0.515 | -12.40 | 2.36 |
| 12 | -0.260 | -33.86 | 5.23 |
| 13 | -0.399 | -17.63 | 1.89 |
| 14 | 0.917 | -12.32 | 1.66 |
| 15 | 0.079 | -13.96 | 3.39 |
| 16 | -0.223 | -13.13 | 4.08 |
| 17 | 0.073 | -59.24 | 9.90 |
| 18 | -0.656 | -12.96 | 1.07 |
| 19 | -0.685 | -13.08 | 0.88 |
| 20 | -0.506 | -12.36 | 1.13 |
| 21 | -0.095 | -16.39 | 3.25 |
| 22 | 0.742 | -12.21 | 4.36 |
| 23 | 0.316 | -21.68 | 3.76 |
| 24 | 0.632 | -20.42 | 2.18 |
| 25 | 1.436 | -17.35 | 6.50 |
| 26 | 1.502 | -17.02 | 5.07 |